Here is CdHgCl2 after structural relaxation from the Alexandria database. Energies are from GGA-PBEsol.

Lattice parameters (Å, degrees): 6.999 6.999 6.999 90.00 90.00 90.00
Atoms (fractional coordinates):
Cd 0.000 0.000 0.000
Cd 0.000 0.500 0.500
Cd 0.500 0.000 0.500
Cd 0.500 0.500 0.000
Hg 0.250 0.250 0.750
Hg 0.250 0.750 0.250
Hg 0.750 0.250 0.250
Hg 0.750 0.750 0.750
Cl 0.000 0.000 0.500
Cl 0.000 0.500 0.000
Cl 0.250 0.250 0.250
Cl 0.250 0.750 0.750
Cl 0.500 0.000 0.000
Cl 0.500 0.500 0.500
Cl 0.750 0.250 0.750
Cl 0.750 0.750 0.250

Summary:
Crystal system   cubic
Calculated total energy   -1.617 eV per atom
Raw formation energy   -0.689 eV/f.u.
Relative energy among the computed polymorphs   52.4 kJ/mol of atoms
Space group   F-43m (216)